1.
Ba6N2O | Alexandria | GGA-PBE | relaxed; E_tot = -4.464 eV/atom; energy above the lowest structure with this stoichiometry = 0.000 eV/atom; raw formation energy = -0.781 eV/atom
1.0
4.055 0.000 0.000
-2.027 7.124 -2.629
0.000 -1.798 11.658
Ba N O
6 2 1
direct
0.021 0.042 0.751
0.691 0.382 0.082
0.309 0.618 0.918
0.644 0.288 0.587
0.356 0.712 0.413
0.979 0.958 0.249
0.662 0.324 0.826
0.338 0.676 0.174
0.000 0.000 0.500



2.
ZrFeTc | Alexandria | GGA-PBE | relaxed; E_tot = -9.191 eV/atom; energy above the lowest structure with this stoichiometry = 0.207 eV/atom
1.0
5.232 0.000 0.046
0.000 3.961 0.000
-0.130 0.000 9.672
Tc Zr Fe
4 4 4
direct
0.185 0.000 0.685
0.185 0.500 0.185
0.454 0.000 0.116
0.454 0.500 0.616
0.693 0.000 0.832
0.693 0.500 0.332
0.191 0.000 0.405
0.191 0.500 0.905
0.935 0.000 0.114
0.935 0.500 0.614
0.707 0.000 0.545
0.707 0.500 0.045



3.
WSe2N | Alexandria | GGA-PBE | relaxed; E_tot = -5.902 eV/atom; raw formation energy = 1.160 eV/atom
1.0
-1.984 2.365 4.489
3.330 -3.031 3.068
4.272 3.296 3.457
Se W N
4 2 2
direct
0.592 0.125 0.250
0.158 0.625 0.250
0.375 0.408 0.750
0.875 0.842 0.750
0.000 0.000 0.000
0.750 0.250 0.500
0.500 0.500 0.000
0.250 0.750 0.500



4.
TbErTlGa | Alexandria | GGA-PBE | relaxed; E_tot = -4.100 eV/atom; energy above the lowest structure with this stoichiometry = 0.000 eV/atom
1.0
-2.859 -0.147 2.141
-0.041 -3.562 -0.299
4.684 -0.576 6.216
Tb Er Tl Ga
1 1 1 1
direct
0.000 0.000 0.838
0.000 0.000 0.375
0.500 0.500 0.111
0.500 0.500 0.603



5.
Sr2SBr | Alexandria | GGA-PBE | relaxed; E_tot = -4.052 eV/atom; energy above the lowest structure with this stoichiometry = 0.012 eV/atom; raw formation energy = -1.761 eV/atom
1.0
4.303 0.000 0.000
2.151 3.726 0.000
2.151 1.242 7.777
Sr S Br
2 1 1
direct
0.070 0.070 0.790
0.264 0.264 0.209
0.672 0.672 0.985
0.495 0.495 0.516



6.
SmInGe4 | Alexandria | GGA-PBE | relaxed; E_tot = -4.503 eV/atom
1.0
-5.346 0.823 -1.692
-4.207 -2.983 2.350
-3.703 2.554 3.448
Ge Sm In
4 1 1
direct
0.625 0.625 0.125
0.625 0.125 0.625
0.625 0.625 0.625
0.125 0.625 0.625
0.250 0.250 0.250
0.000 0.000 0.000



7.
Tc2Mo3 | Alexandria | GGA-PBE | relaxed; E_tot = -10.203 eV/atom; energy above the lowest structure with this stoichiometry = 0.237 eV/atom
1.0
2.551 1.559 -3.089
-4.115 1.228 0.214
1.370 4.041 3.171
Tc Mo
2 3
direct
0.667 0.333 0.166
0.333 0.667 0.834
0.000 0.000 0.000
0.667 0.333 0.645
0.333 0.667 0.355



8.
Li2Pu2S3 | Alexandria | GGA-PBE | relaxed; E_tot = -7.727 eV/atom; raw formation energy = -1.316 eV/atom
1.0
7.736 0.000 -1.469
0.000 6.435 0.000
1.716 0.000 5.216
Li Pu S
4 4 6
direct
0.434 0.302 0.647
0.066 0.802 0.353
0.934 0.198 0.647
0.566 0.698 0.353
0.826 0.662 0.839
0.326 0.838 0.839
0.674 0.162 0.161
0.174 0.338 0.161
0.500 0.500 0.000
0.000 0.000 0.000
0.655 0.010 0.671
0.845 0.510 0.329
0.155 0.490 0.671
0.345 0.990 0.329



9.
MgCd9Ga2 | Alexandria | GGA-PBE | relaxed; E_tot = -1.311 eV/atom
1.0
4.449 0.000 0.000
0.000 4.449 0.000
0.000 0.000 13.301
Mg Cd Ga
1 9 2
direct
0.000 0.000 0.000
0.500 0.500 0.000
0.500 0.500 0.334
0.500 0.500 0.666
0.500 0.000 0.167
0.500 0.000 0.500
0.500 0.000 0.833
0.000 0.500 0.167
0.000 0.500 0.500
0.000 0.500 0.833
0.000 0.000 0.332
0.000 0.000 0.668



10.
LiCd3Bi4Pb2 | Alexandria | GGA-PBE | relaxed; E_tot = -2.733 eV/atom
1.0
-2.276 1.423 -3.953
0.615 -4.334 -1.914
-12.036 -4.114 5.449
Li Cd Bi Pb
1 3 4 2
direct
0.500 0.500 0.500
0.000 0.000 0.500
0.500 0.000 0.853
0.000 0.500 0.147
0.500 0.500 0.000
0.000 0.000 0.000
0.500 0.000 0.642
0.000 0.500 0.358
0.500 0.000 0.311
0.000 0.500 0.689



11.
NaEr2Cd4 | Alexandria | GGA-PBE | relaxed; E_tot = -2.049 eV/atom
1.0
0.973 5.065 0.873
0.063 1.846 4.894
7.576 0.836 2.383
Na Er Cd
1 2 4
direct
0.000 0.000 0.000
0.725 0.725 0.826
0.275 0.275 0.174
0.868 0.868 0.396
0.132 0.132 0.604
0.577 0.577 0.269
0.423 0.423 0.731



12.
CoTe2H2 | Alexandria | GGA-PBE | relaxed; E_tot = -3.588 eV/atom; energy above the lowest structure with this stoichiometry = 0.000 eV/atom
1.0
6.765 0.000 0.000
0.000 6.765 0.000
0.000 0.000 3.934
H Te Co
4 4 2
direct
0.134 0.634 0.500
0.634 0.866 0.500
0.866 0.366 0.500
0.366 0.134 0.500
0.163 0.663 0.000
0.663 0.837 0.000
0.837 0.337 0.000
0.337 0.163 0.000
0.000 0.000 0.000
0.500 0.500 0.000